(1)
ZnFe2Ni: optimized geometry, PBE.

Cell lengths 4.3423, 4.3423, 4.3423 Å; angles 129.45, 129.45, 74.29 degrees
Last column: nearest neighbours and their distance in Å.
Sites, in units of the cell vectors:
Zn (0.0000, 0.0000, 0.0000)  8 Fe 2.54-2.62, 4 Ni 2.54
Fe (0.5000, 0.5000, 0.0000)  4 Ni 2.54, 4 Fe 2.54, 4 Zn 2.62
Fe (0.7500, 0.2500, 0.5000)  4 Fe 2.54, 4 Zn 2.54, 4 Ni 2.62
Ni (0.2500, 0.7500, 0.5000)  8 Fe 2.54-2.62, 4 Zn 2.54

Symmetry = I-4m2 (119)
VASP energy = -5.99 eV per atom
Size of the total moment = 5.2 μB per formula unit
Crystal system = tetragonal
DFT formation energy = 0.000 eV per atom

(2)
ZnFe3Ni4: optimized geometry, PBE.

Cell lengths 3.5500, 3.6193, 7.1893 Å; angles 90.00, 90.00, 90.00 degrees
Last column: nearest neighbours and their distance in Å.
Sites, in units of the cell vectors:
Zn (0.0000, 0.0000, 0.0000)  8 Ni 2.53-2.55, 4 Fe 2.59
Fe (0.0000, 0.0000, 0.5000)  8 Ni 2.50-2.53, 4 Fe 2.51
Fe (0.0000, 0.5000, 0.2585)  8 Ni 2.48-2.57, 2 Fe 2.51, 2 Zn 2.59
Fe (0.0000, 0.5000, 0.7415)  8 Ni 2.48-2.57, 2 Fe 2.51, 2 Zn 2.59
Ni (0.5000, 0.0000, 0.2553)  6 Fe 2.50-2.53, 4 Ni 2.52-2.58, 2 Zn 2.55
Ni (0.5000, 0.0000, 0.7447)  6 Fe 2.50-2.53, 4 Ni 2.52-2.58, 2 Zn 2.55
Ni (0.5000, 0.5000, 0.0000)  4 Zn 2.53, 4 Fe 2.57, 4 Ni 2.58
Ni (0.5000, 0.5000, 0.5000)  8 Fe 2.48-2.53, 4 Ni 2.52

Symmetry = Pmmm (47)
VASP energy = -6.29 eV per atom
Size of the total moment = 10.2 μB per formula unit
Crystal system = orthorhombic
DFT formation energy = -0.069 eV per atom

(3)
Zn3FeNi6: optimized geometry, PBE.

Cell lengths 6.7980, 4.1370, 8.9813 Å; angles 90.00, 111.91, 90.00 degrees
Last column: nearest neighbours and their distance in Å.
Sites, in units of the cell vectors:
Zn (0.0850, 0.2500, 0.2236)  8 Ni 2.48-2.60, 1 Fe 2.64, 3 Zn 2.65-2.68
Zn (0.2963, 0.2500, 0.0241)  11 Ni 2.50-2.61, 1 Zn 2.68
Zn (0.3192, 0.7500, 0.3736)  9 Ni 2.50-2.59, 2 Zn 2.65, 1 Fe 2.66
Zn (0.6808, 0.2500, 0.6264)  9 Ni 2.50-2.59, 2 Zn 2.65, 1 Fe 2.66
Zn (0.7037, 0.7500, 0.9759)  11 Ni 2.50-2.61, 1 Zn 2.68
Zn (0.9150, 0.7500, 0.7764)  8 Ni 2.48-2.60, 1 Fe 2.64, 3 Zn 2.65-2.68
Fe (0.1135, 0.7500, 0.5741)  8 Ni 2.46-2.51, 2 Fe 2.63, 2 Zn 2.64-2.66
Fe (0.8865, 0.2500, 0.4259)  8 Ni 2.46-2.51, 2 Fe 2.63, 2 Zn 2.64-2.66
Ni (0.0912, 0.2500, 0.7222)  5 Ni 2.49-2.68, 3 Fe 2.49-2.50, 4 Zn 2.53-2.59
Ni (0.1111, 0.7500, 0.0730)  7 Zn 2.49-2.57, 5 Ni 2.54-2.68
Ni (0.2850, 0.2500, 0.5279)  3 Fe 2.48-2.51, 4 Zn 2.50-2.56, 5 Ni 2.50-2.70
Ni (0.3074, 0.7500, 0.8681)  1 Fe 2.47, 4 Zn 2.48-2.52, 7 Ni 2.50-2.65
Ni (0.4864, 0.2500, 0.8248)  8 Ni 2.49-2.59, 4 Zn 2.57-2.61
Ni (0.4965, 0.2500, 0.3261)  1 Fe 2.46, 6 Ni 2.50-2.70, 5 Zn 2.51-2.60
Ni (0.5035, 0.7500, 0.6739)  1 Fe 2.46, 6 Ni 2.50-2.70, 5 Zn 2.51-2.60
Ni (0.5136, 0.7500, 0.1752)  8 Ni 2.49-2.59, 4 Zn 2.57-2.61
Ni (0.6926, 0.2500, 0.1319)  1 Fe 2.47, 4 Zn 2.48-2.52, 7 Ni 2.50-2.65
Ni (0.7150, 0.7500, 0.4721)  3 Fe 2.48-2.51, 4 Zn 2.50-2.56, 5 Ni 2.50-2.70
Ni (0.8889, 0.2500, 0.9270)  7 Zn 2.49-2.57, 5 Ni 2.54-2.68
Ni (0.9088, 0.7500, 0.2778)  5 Ni 2.49-2.68, 3 Fe 2.49-2.50, 4 Zn 2.53-2.59

Symmetry = P2_1/m (11)
VASP energy = -4.82 eV per atom
Size of the total moment = 4.2 μB per formula unit
Crystal system = monoclinic
DFT formation energy = -0.121 eV per atom

(4)
ZnFe2Ni5: optimized geometry, PBE.

Cell lengths 7.5144, 7.5144, 7.5144 Å; angles 152.36, 152.36, 39.48 degrees
Last column: nearest neighbours and their distance in Å.
Sites, in units of the cell vectors:
Zn (0.0000, 0.0000, 0.0000)  12 Ni 2.54
Fe (0.2482, 0.2482, 0.0000)  8 Ni 2.48-2.52, 4 Fe 2.54
Fe (0.7518, 0.7518, 0.0000)  8 Ni 2.48-2.52, 4 Fe 2.54
Ni (0.1269, 0.6269, 0.5000)  4 Fe 2.48-2.52, 6 Ni 2.54, 2 Zn 2.54
Ni (0.3731, 0.8731, 0.5000)  4 Fe 2.48-2.52, 6 Ni 2.54, 2 Zn 2.54
Ni (0.5000, 0.5000, 0.0000)  4 Zn 2.54, 8 Ni 2.54
Ni (0.6269, 0.1269, 0.5000)  4 Fe 2.48-2.52, 6 Ni 2.54, 2 Zn 2.54
Ni (0.8731, 0.3731, 0.5000)  4 Fe 2.48-2.52, 6 Ni 2.54, 2 Zn 2.54

Symmetry = I4/mmm (139)
VASP energy = -5.98 eV per atom
Size of the total moment = 7.7 μB per formula unit
Crystal system = tetragonal
DFT formation energy = -0.094 eV per atom

(5)
ZnFeNi: optimized geometry, PBE.

Cell lengths 5.6555, 5.6555, 5.6555 Å; angles 153.49, 153.49, 37.84 degrees
Last column: nearest neighbours and their distance in Å.
Sites, in units of the cell vectors:
Zn (0.0000, 0.0000, 0.0000)  4 Ni 2.56, 4 Zn 2.59, 4 Fe 2.63
Fe (0.3239, 0.3239, 0.0000)  4 Ni 2.49, 4 Fe 2.59, 4 Zn 2.63
Ni (0.6671, 0.6671, 0.0000)  4 Fe 2.49, 4 Zn 2.56, 4 Ni 2.59

Symmetry = I4mm (107)
VASP energy = -5.25 eV per atom
Size of the total moment = 2.7 μB per formula unit
Relative energy among the computed polymorphs = 0.00 eV per formula unit
Crystal system = tetragonal
DFT formation energy = -0.074 eV per atom

(6)
ZnFe2Ni6: optimized geometry, PBE.

Cell lengths 7.1802, 7.1802, 7.1802 Å; angles 160.08, 123.26, 60.75 degrees
Last column: nearest neighbours and their distance in Å.
Sites, in units of the cell vectors:
Zn (0.0000, 0.0000, 0.0000)  2 Zn 2.48, 12 Ni 2.55-2.78
Fe (0.3509, 0.8509, 0.5000)  2 Fe 2.48, 10 Ni 2.49-2.55
Fe (0.6491, 0.1491, 0.5000)  2 Fe 2.48, 10 Ni 2.49-2.55
Ni (0.0027, 0.3249, 0.6778)  6 Ni 2.39-2.48, 3 Fe 2.49-2.55
Ni (0.3259, 0.5000, 0.8259)  5 Ni 2.38-2.48, 4 Fe 2.52, 2 Zn 2.55
Ni (0.3529, 0.6751, 0.6778)  6 Ni 2.39-2.48, 3 Fe 2.49-2.55
Ni (0.6471, 0.3249, 0.3222)  6 Ni 2.39-2.48, 3 Fe 2.49-2.55
Ni (0.6741, 0.5000, 0.1741)  5 Ni 2.38-2.48, 4 Fe 2.52, 2 Zn 2.55
Ni (0.9973, 0.6751, 0.3222)  6 Ni 2.39-2.48, 3 Fe 2.49-2.55

Symmetry = Immm (71)
VASP energy = -5.83 eV per atom
Size of the total moment = 8.5 μB per formula unit
Relative energy among the computed polymorphs = 0.00 eV per formula unit
Crystal system = orthorhombic
DFT formation energy = 0.048 eV per atom

(7)
ZnFe2Ni: optimized geometry, PBE.

Cell lengths 3.0471, 3.0471, 5.2496 Å; angles 90.00, 90.00, 90.00 degrees
Last column: nearest neighbours and their distance in Å.
Sites, in units of the cell vectors:
Zn (0.0000, 0.0000, 0.0000)  8 Fe 2.57, 2 Ni 2.62
Fe (0.5000, 0.5000, 0.2676)  1 Fe 2.44, 4 Ni 2.48, 4 Zn 2.57
Fe (0.5000, 0.5000, 0.7324)  1 Fe 2.44, 4 Ni 2.48, 4 Zn 2.57
Ni (0.0000, 0.0000, 0.5000)  8 Fe 2.48, 2 Zn 2.62

Symmetry = P4/mmm (123)
VASP energy = -5.91 eV per atom
Size of the total moment = 5.6 μB per formula unit
Crystal system = tetragonal
DFT formation energy = 0.088 eV per atom

(8)
Zn2FeNi6: optimized geometry, PBE.

Cell lengths 4.4694, 4.4694, 6.1691 Å; angles 104.60, 104.60, 67.41 degrees
Last column: nearest neighbours and their distance in Å.
Sites, in units of the cell vectors:
Zn (0.1713, 0.1713, 0.0937)  7 Ni 2.45-2.64, 1 Zn 2.46, 1 Fe 2.68
Zn (0.8287, 0.8287, 0.9063)  7 Ni 2.45-2.64, 1 Zn 2.46, 1 Fe 2.68
Fe (0.5000, 0.5000, 0.0000)  4 Ni 2.37
Ni (0.1900, 0.7111, 0.2980)  1 Fe 2.37, 7 Ni 2.37-2.60, 3 Zn 2.45-2.64
Ni (0.2624, 0.2624, 0.5233)  10 Ni 2.45-2.60, 1 Zn 2.53
Ni (0.2889, 0.8100, 0.7020)  1 Fe 2.37, 7 Ni 2.37-2.60, 3 Zn 2.45-2.64
Ni (0.7111, 0.1900, 0.2980)  1 Fe 2.37, 7 Ni 2.37-2.60, 3 Zn 2.45-2.64
Ni (0.7376, 0.7376, 0.4767)  10 Ni 2.45-2.60, 1 Zn 2.53
Ni (0.8100, 0.2889, 0.7020)  1 Fe 2.37, 7 Ni 2.37-2.60, 3 Zn 2.45-2.64

Symmetry = C2/m (12)
VASP energy = -5.04 eV per atom
Size of the total moment = 5.5 μB per formula unit
Relative energy among the computed polymorphs = 0.96 eV per formula unit
Crystal system = monoclinic
DFT formation energy = 0.038 eV per atom

(9)
ZnFeNi6: optimized geometry, PBE.

Cell lengths 3.5656, 3.5656, 7.0835 Å; angles 90.00, 90.00, 90.00 degrees
Last column: nearest neighbours and their distance in Å.
Sites, in units of the cell vectors:
Zn (0.0000, 0.0000, 0.0000)  12 Ni 2.52-2.54
Fe (0.0000, 0.0000, 0.5000)  12 Ni 2.49-2.52
Ni (0.0000, 0.5000, 0.2552)  2 Fe 2.49, 8 Ni 2.49-2.54, 2 Zn 2.54
Ni (0.0000, 0.5000, 0.7448)  2 Fe 2.49, 8 Ni 2.49-2.54, 2 Zn 2.54
Ni (0.5000, 0.0000, 0.2552)  2 Fe 2.49, 8 Ni 2.49-2.54, 2 Zn 2.54
Ni (0.5000, 0.0000, 0.7448)  2 Fe 2.49, 8 Ni 2.49-2.54, 2 Zn 2.54
Ni (0.5000, 0.5000, 0.0000)  4 Zn 2.52, 8 Ni 2.54
Ni (0.5000, 0.5000, 0.5000)  8 Ni 2.49, 4 Fe 2.52

Symmetry = P4/mmm (123)
VASP energy = -5.67 eV per atom
Size of the total moment = 6.0 μB per formula unit
Relative energy among the computed polymorphs = 0.00 eV per formula unit
Crystal system = tetragonal
DFT formation energy = -0.113 eV per atom

(10)
ZrZnFeNi: optimized geometry, PBE.

Cell lengths 4.3019, 4.3019, 4.3019 Å; angles 60.00, 60.00, 60.00 degrees
Last column: nearest neighbours and their distance in Å.
Sites, in units of the cell vectors:
Zr (0.0000, 0.0000, 0.0000)  4 Fe 2.63, 4 Ni 2.63
Zn (0.5000, 0.5000, 0.5000)  4 Fe 2.63, 4 Ni 2.63
Fe (0.7500, 0.7500, 0.7500)  4 Zr 2.63, 4 Zn 2.63
Ni (0.2500, 0.2500, 0.2500)  4 Zr 2.63, 4 Zn 2.63

Symmetry = F-43m (216)
VASP energy = -6.19 eV per atom
Size of the total moment = 0.0 μB per formula unit
Crystal system = cubic
DFT formation energy = -0.172 eV per atom

(11)
Zr2Fe2Ni: optimized geometry, PBE.

Cell lengths 6.3603, 6.3603, 3.8480 Å; angles 90.00, 90.00, 90.00 degrees
Last column: nearest neighbours and their distance in Å.
Sites, in units of the cell vectors:
Zr (0.1834, 0.3166, 0.0000)  6 Fe 2.61-2.75
Zr (0.3166, 0.8166, 0.0000)  6 Fe 2.61-2.75
Zr (0.6834, 0.1834, 0.0000)  6 Fe 2.61-2.75
Zr (0.8166, 0.6834, 0.0000)  6 Fe 2.61-2.75
Fe (0.1197, 0.6197, 0.5000)  1 Fe 2.15
Fe (0.3803, 0.1197, 0.5000)  1 Fe 2.15
Fe (0.6197, 0.8803, 0.5000)  1 Fe 2.15
Fe (0.8803, 0.3803, 0.5000)  1 Fe 2.15
Ni (0.0000, 0.0000, 0.5000)  4 Fe 2.54
Ni (0.5000, 0.5000, 0.5000)  4 Fe 2.54

Symmetry = P4/mbm (127)
VASP energy = -8.08 eV per atom
Size of the total moment = 1.5 μB per formula unit
Crystal system = tetragonal
DFT formation energy = -0.123 eV per atom

(12)
Zr8Fe2Ni: optimized geometry, PBE.

Cell lengths 8.6187, 8.6187, 5.9970 Å; angles 109.84, 109.84, 31.32 degrees
Last column: nearest neighbours and their distance in Å.
Sites, in units of the cell vectors:
Zr (0.0302, 0.0302, 0.2796)  1 Fe 2.36
Zr (0.2016, 0.2016, 0.8403)  1 Fe 2.62
Zr (0.3238, 0.3238, 0.4902)  3 Fe 2.53-2.83
Zr (0.4069, 0.4069, 0.0275)  1 Ni 2.71, 2 Fe 2.82, 1 Zr 3.03
Zr (0.5931, 0.5931, 0.9725)  1 Ni 2.71, 2 Fe 2.82, 1 Zr 3.03
Zr (0.6762, 0.6762, 0.5098)  3 Fe 2.53-2.83
Zr (0.7984, 0.7984, 0.1597)  1 Fe 2.62
Zr (0.9698, 0.9698, 0.7204)  1 Fe 2.36
Fe (0.1657, 0.1657, 0.2329)  3 Zr 2.36-2.62
Fe (0.8343, 0.8343, 0.7671)  3 Zr 2.36-2.62
Ni (0.5000, 0.5000, 0.5000)  8 Zr 2.71-2.90

Symmetry = C2/m (12)
VASP energy = -8.38 eV per atom
Size of the total moment = 0.0 μB per formula unit
Crystal system = monoclinic
DFT formation energy = -0.097 eV per atom

(13)
Zr2FeNi2: optimized geometry, PBE.

Cell lengths 6.5461, 6.5461, 3.6297 Å; angles 90.00, 90.00, 90.00 degrees
Last column: nearest neighbours and their distance in Å.
Sites, in units of the cell vectors:
Zr (0.1801, 0.3199, 0.0000)  6 Ni 2.55-2.73
Zr (0.3199, 0.8199, 0.0000)  6 Ni 2.55-2.73
Zr (0.6801, 0.1801, 0.0000)  6 Ni 2.55-2.73
Zr (0.8199, 0.6801, 0.0000)  6 Ni 2.55-2.73
Fe (0.0000, 0.0000, 0.5000)  4 Ni 2.58
Fe (0.5000, 0.5000, 0.5000)  4 Ni 2.58
Ni (0.1265, 0.6265, 0.5000)  1 Ni 2.34, 2 Zr 2.55, 2 Fe 2.58
Ni (0.3735, 0.1265, 0.5000)  1 Ni 2.34, 2 Zr 2.55, 2 Fe 2.58
Ni (0.6265, 0.8735, 0.5000)  1 Ni 2.34, 2 Zr 2.55, 2 Fe 2.58
Ni (0.8735, 0.3735, 0.5000)  1 Ni 2.34, 2 Zr 2.55, 2 Fe 2.58

Symmetry = P4/mbm (127)
VASP energy = -7.58 eV per atom
Size of the total moment = 0.0 μB per formula unit
Crystal system = tetragonal
DFT formation energy = -0.159 eV per atom

(14)
Np4Fe: optimized geometry, PBE.

Cell lengths 4.9190, 4.9190, 4.9190 Å; angles 90.00, 90.00, 90.00 degrees
Last column: nearest neighbours and their distance in Å.
Sites, in units of the cell vectors:
Np (0.0000, 0.0000, 0.0000)  12 Np 3.48
Np (0.0000, 0.5000, 0.5000)  2 Fe 2.46
Np (0.5000, 0.0000, 0.5000)  2 Fe 2.46
Np (0.5000, 0.5000, 0.0000)  2 Fe 2.46
Fe (0.5000, 0.5000, 0.5000)  6 Np 2.46

Symmetry = Pm-3m (221)
VASP energy = -11.12 eV per atom
Size of the total moment = 5.6 μB per formula unit
Relative energy among the computed polymorphs = 0.47 eV per formula unit
Crystal system = cubic
DFT formation energy = 0.929 eV per atom

(15)
Np4Fe: optimized geometry, PBE.

Cell lengths 6.7467, 6.7467, 6.7467 Å; angles 60.00, 60.00, 60.00 degrees
Last column: nearest neighbours and their distance in Å.
Sites, in units of the cell vectors:
Np (0.1870, 0.7710, 0.7710)  1 Fe 2.41
Np (0.2290, 0.2290, 0.2290)  1 Fe 2.41
Np (0.2290, 0.2290, 0.8130)  1 Fe 2.41
Np (0.2290, 0.8130, 0.2290)  1 Fe 2.41
Np (0.7710, 0.1870, 0.7710)  1 Fe 2.41
Np (0.7710, 0.7710, 0.1870)  1 Fe 2.41
Np (0.7710, 0.7710, 0.7710)  1 Fe 2.41
Np (0.8130, 0.2290, 0.2290)  1 Fe 2.41
Fe (0.3750, 0.3750, 0.3750)  4 Np 2.41
Fe (0.6250, 0.6250, 0.6250)  4 Np 2.41

Symmetry = Fd-3m (227)
VASP energy = -11.21 eV per atom
Size of the total moment = 12.7 μB per formula unit
Relative energy among the computed polymorphs = 0.00 eV per formula unit
Crystal system = cubic
DFT formation energy = 0.835 eV per atom